No. 1
The following is a DFT calculation (PBE) of a relaxed CoNiAu2 crystal.

Unit cell a=2.833 b=2.833 c=7.286 alpha=90.00 beta=90.00 gamma=89.97
Site moments in Bohr magnetons follow the coordinates.
Positions (direct):
Au (0.000, 0.000, 0.998)  0.04
Au (0.000, 0.000, 0.502)  0.04
Co (0.500, 0.500, 0.250)  1.88
Ni (0.500, 0.500, 0.750)  0.49

Offset from the most stable computed form, meV per atom: 71
D(E_F), states/eV per cell: 4.1
SG: No. 123

=====

No. 2
The following is a DFT calculation (PBE) of a relaxed Co2NiAu crystal.

Unit cell a=4.466 b=4.466 c=4.629 alpha=80.08 beta=80.08 gamma=34.61
Site moments in Bohr magnetons follow the coordinates.
Positions (direct):
Au (0.250, 0.250, 0.253)  0.03
Co (0.007, 0.007, 0.966)  1.75
Co (0.750, 0.750, 0.755)  1.71
Ni (0.493, 0.493, 0.526)  0.66

Offset from the most stable computed form, meV per atom: 44
D(E_F), states/eV per cell: 5.1
SG: No. 8

=====

No. 3
The following is a DFT calculation (PBE) of a relaxed CoNiAu2 crystal.

Unit cell a=3.581 b=2.841 c=6.409 alpha=63.69 beta=90.00 gamma=90.00
Site moments in Bohr magnetons follow the coordinates.
Positions (direct):
Au (0.000, 0.000, 0.999)  0.03
Au (0.000, 0.500, 0.501)  0.03
Co (0.500, 0.250, 0.250)  1.84
Ni (0.500, 0.750, 0.750)  0.44

Offset from the most stable computed form, meV per atom: 79
D(E_F), states/eV per cell: 4.3
SG: No. 47

=====

No. 4
The following is a DFT calculation (PBE) of a relaxed CoNi2Au crystal.

Unit cell a=3.734 b=3.735 c=3.665 alpha=90.00 beta=90.00 gamma=90.00
Site moments in Bohr magnetons follow the coordinates.
Positions (direct):
Au (0.500, 0.000, 0.500)  0.07
Co (0.000, 0.500, 0.500)  1.79
Ni (0.000, 0.000, 0.000)  0.66
Ni (0.500, 0.500, 0.000)  0.66

Offset from the most stable computed form, meV per atom: 50
D(E_F), states/eV per cell: 7.5
SG: No. 123

=====

No. 5
The following is a DFT calculation (PBE) of a relaxed CoNi4Au crystal.

Unit cell a=4.714 b=4.714 c=4.714 alpha=60.00 beta=60.00 gamma=60.00
Site moments in Bohr magnetons follow the coordinates.
Positions (direct):
Co (0.000, 0.000, 0.000)  1.90
Ni (0.876, 0.375, 0.375)  0.50
Ni (0.375, 0.375, 0.876)  0.50
Ni (0.375, 0.876, 0.375)  0.50
Ni (0.375, 0.375, 0.375)  0.50
Au (0.750, 0.750, 0.750)  0.00

D(E_F), states/eV per cell: 11.1
SG: No. 216

=====

No. 6
The following is a DFT calculation (PBE) of a relaxed CoNiAu crystal.

Unit cell a=4.037 b=4.037 c=4.037 alpha=60.00 beta=60.00 gamma=60.00
Site moments in Bohr magnetons follow the coordinates.
Positions (direct):
Au (0.000, 0.000, 0.000)  0.00
Co (0.500, 0.500, 0.500)  1.87
Ni (0.750, 0.750, 0.750)  0.63

Offset from the most stable computed form, meV per atom: 334
D(E_F), states/eV per cell: 2.4
SG: No. 216

=====

Here are the calculated ΔH_f (0 K) numbers, same order: 0.187, 0.177, 0.196, 0.149, 0.190, 0.466 (eV/atom).
Here are the calculated calculated volume numbers, same order: 58.5, 51.6, 58.4, 51.1, 74.1, 46.5 (Å³/f.u.).
Here are the calculated calculated total energy numbers, same order: -0.172, -0.207, -0.171, -0.196, -0.198, -0.181 (hartree per atom).